Entry 1:
DFT (PBE) results for TiZn3Cu4 after structural relaxation.

Cell and atoms, written as CIF:
```
data_TiZn3Cu4
_space_group_name_H-M_alt 'P m m a'
_space_group_IT_number 51
_cell_length_a 8.4063
_cell_length_b 6.0657
_cell_length_c 4.2020
_cell_angle_alpha 90.00
_cell_angle_beta 90.00
_cell_angle_gamma 90.00
loop_
_space_group_symop_operation_xyz
'x,y,z'
'-x,-y,-z'
'-x+1/2,-y,z'
'x+1/2,y,-z'
'x+1/2,-y,-z'
'-x+1/2,y,z'
'-x,y,-z'
'x,-y,z'
loop_
_atom_site_label
_atom_site_fract_x
_atom_site_fract_y
_atom_site_fract_z
Ti1 0.0000 0.0000 0.0000
Zn1 0.0000 0.5000 0.0000
Zn2 0.2500 0.0000 0.4986
Zn3 0.2500 0.5000 0.4982
Cu1 0.0000 0.2547 0.5000
Cu2 0.2500 0.2548 0.9979
```

Computed properties:
Its total energy is -0.264 Ry/atom.



Entry 2:
DFT (PBE) results for Ti4ZnCu after structural relaxation.

Cell and atoms, written as CIF:
```
data_Ti4ZnCu
_space_group_name_H-M_alt 'C 1 2/m 1'
_space_group_IT_number 12
_cell_length_a 7.5803
_cell_length_b 4.3779
_cell_length_c 7.0329
_cell_angle_alpha 90.00
_cell_angle_beta 111.13
_cell_angle_gamma 90.00
loop_
_space_group_symop_operation_xyz
'x,y,z'
'-x,-y,-z'
'-x,y,-z'
'x,-y,z'
'x+1/2,y+1/2,z'
'-x+1/2,-y+1/2,-z'
'-x+1/2,y+1/2,-z'
'x+1/2,-y+1/2,z'
loop_
_atom_site_label
_atom_site_fract_x
_atom_site_fract_y
_atom_site_fract_z
Ti1 0.1267 0.0000 0.3805
Ti2 0.1325 0.5000 0.8977
Zn1 0.0000 0.5000 0.5000
Cu1 0.0000 0.0000 0.0000
```

Computed properties:
Its polymorph energy (0 for the lowest one) is 0.486 eV/atom.



Entry 3:
DFT (PBE) results for Ti3Zn2Cu after structural relaxation.

Cell and atoms, written as CIF:
```
data_Ti3Zn2Cu
_space_group_name_H-M_alt 'P 4/m m m'
_space_group_IT_number 123
_space_group_name_Hall '-P 4 2'
_cell_length_a 2.8398
_cell_length_b 2.8398
_cell_length_c 11.3379
_cell_angle_alpha 90.00
_cell_angle_beta 90.00
_cell_angle_gamma 90.00
loop_
_atom_site_label
_atom_site_fract_x
_atom_site_fract_y
_atom_site_fract_z
Ti1 0.0000 0.0000 0.0000
Ti2 0.0000 0.0000 0.3392
Zn1 0.5000 0.5000 0.1699
Cu1 0.5000 0.5000 0.5000
```

Computed properties:
Its total energy is -0.382 Ry/atom.



Entry 4:
DFT (PBE) results for TiZn6Cu6 after structural relaxation.

Cell and atoms, written as CIF:
```
data_TiZn6Cu6
_space_group_name_H-M_alt 'I m m m'
_space_group_IT_number 71
_space_group_name_Hall '-I 2 2'
_cell_length_a 4.9386
_cell_length_b 8.4409
_cell_length_c 8.6070
_cell_angle_alpha 90.00
_cell_angle_beta 90.00
_cell_angle_gamma 90.00
loop_
_atom_site_label
_atom_site_fract_x
_atom_site_fract_y
_atom_site_fract_z
Ti1 0.0000 0.0000 0.0000
Zn1 0.0000 0.0000 0.3409
Zn2 0.0000 0.3363 0.0000
Zn3 0.0000 0.5000 0.3186
Cu1 0.0000 0.2682 0.5000
Cu2 0.2500 0.2500 0.2500
```

Computed properties:
Its total energy is -0.232 Ry/atom.



Entry 5:
DFT (PBE) results for Ti2Zn2Cu after structural relaxation.

Cell and atoms, written as CIF:
```
data_Ti2Zn2Cu
_space_group_name_H-M_alt 'P 4/m b m'
_space_group_IT_number 127
_space_group_name_Hall '-P 4 2ab'
_cell_length_a 7.8735
_cell_length_b 7.8735
_cell_length_c 2.6309
_cell_angle_alpha 90.00
_cell_angle_beta 90.00
_cell_angle_gamma 90.00
loop_
_atom_site_label
_atom_site_fract_x
_atom_site_fract_y
_atom_site_fract_z
Ti1 0.1235 0.3765 0.0000
Zn1 0.1730 0.6730 0.5000
Cu1 0.0000 0.0000 0.0000
```

Computed properties:
Its polymorph energy (0 for the lowest one) is 0.298 eV/atom.



Entry 6:
DFT (PBE) results for Ti5Zn4Cu after structural relaxation.

Cell and atoms, written as CIF:
```
data_Ti5Zn4Cu
_space_group_name_H-M_alt 'P 4/m m m'
_space_group_IT_number 123
_space_group_name_Hall '-P 4 2'
_cell_length_a 3.1347
_cell_length_b 3.1347
_cell_length_c 15.6831
_cell_angle_alpha 90.00
_cell_angle_beta 90.00
_cell_angle_gamma 90.00
loop_
_atom_site_label
_atom_site_fract_x
_atom_site_fract_y
_atom_site_fract_z
Ti1 0.0000 0.0000 0.0000
Ti2 0.0000 0.0000 0.2017
Ti3 0.0000 0.0000 0.4045
Zn1 0.5000 0.5000 0.1009
Zn2 0.5000 0.5000 0.3028
Cu1 0.5000 0.5000 0.5000
```

Computed properties:
Its total energy is -0.369 Ry/atom.



Entry 7:
DFT (PBE) results for TiZn2Cu2 after structural relaxation.

Cell and atoms, written as CIF:
```
data_TiZn2Cu2
_space_group_name_H-M_alt 'I 4/m m m'
_space_group_IT_number 139
_space_group_name_Hall '-I 4 2'
_cell_length_a 3.5534
_cell_length_b 3.5534
_cell_length_c 11.6595
_cell_angle_alpha 90.00
_cell_angle_beta 90.00
_cell_angle_gamma 90.00
loop_
_atom_site_label
_atom_site_fract_x
_atom_site_fract_y
_atom_site_fract_z
Ti1 0.0000 0.0000 0.0000
Zn1 0.0000 0.0000 0.3963
Cu1 0.0000 0.5000 0.2500
```

Computed properties:
Its polymorph energy (0 for the lowest one) is 0.146 eV/atom.



Entry 8:
DFT (PBE) results for Ti2Zn2Cu after structural relaxation.

Cell and atoms, written as CIF:
```
data_Ti2Zn2Cu
_space_group_name_H-M_alt 'C 1 2/m 1'
_space_group_IT_number 12
_cell_length_a 7.5053
_cell_length_b 4.3380
_cell_length_c 5.2598
_cell_angle_alpha 90.00
_cell_angle_beta 118.34
_cell_angle_gamma 90.00
loop_
_space_group_symop_operation_xyz
'x,y,z'
'-x,-y,-z'
'-x,y,-z'
'x,-y,z'
'x+1/2,y+1/2,z'
'-x+1/2,-y+1/2,-z'
'-x+1/2,y+1/2,-z'
'x+1/2,-y+1/2,z'
loop_
_atom_site_label
_atom_site_fract_x
_atom_site_fract_y
_atom_site_fract_z
Ti1 0.1022 0.0000 0.3065
Zn1 0.1874 0.5000 0.0621
Cu1 0.0000 0.5000 0.5000
```

Computed properties:
Its polymorph energy (0 for the lowest one) is 0.000 eV/atom.



What did the eighth record say?
DFT (PBE) results for Ti2Zn2Cu after structural relaxation.

Cell and atoms, written as CIF:
```
data_Ti2Zn2Cu
_space_group_name_H-M_alt 'C 1 2/m 1'
_space_group_IT_number 12
_cell_length_a 7.5053
_cell_length_b 4.3380
_cell_length_c 5.2598
_cell_angle_alpha 90.00
_cell_angle_beta 118.34
_cell_angle_gamma 90.00
loop_
_space_group_symop_operation_xyz
'x,y,z'
'-x,-y,-z'
'-x,y,-z'
'x,-y,z'
'x+1/2,y+1/2,z'
'-x+1/2,-y+1/2,-z'
'-x+1/2,y+1/2,-z'
'x+1/2,-y+1/2,z'
loop_
_atom_site_label
_atom_site_fract_x
_atom_site_fract_y
_atom_site_fract_z
Ti1 0.1022 0.0000 0.3065
Zn1 0.1874 0.5000 0.0621
Cu1 0.0000 0.5000 0.5000
```

Computed properties:
Its polymorph energy (0 for the lowest one) is 0.000 eV/atom.



Copy entry 7 word for word.
DFT (PBE) results for TiZn2Cu2 after structural relaxation.

Cell and atoms, written as CIF:
```
data_TiZn2Cu2
_space_group_name_H-M_alt 'I 4/m m m'
_space_group_IT_number 139
_space_group_name_Hall '-I 4 2'
_cell_length_a 3.5534
_cell_length_b 3.5534
_cell_length_c 11.6595
_cell_angle_alpha 90.00
_cell_angle_beta 90.00
_cell_angle_gamma 90.00
loop_
_atom_site_label
_atom_site_fract_x
_atom_site_fract_y
_atom_site_fract_z
Ti1 0.0000 0.0000 0.0000
Zn1 0.0000 0.0000 0.3963
Cu1 0.0000 0.5000 0.2500
```

Computed properties:
Its polymorph energy (0 for the lowest one) is 0.146 eV/atom.